[1]
12
Lattice="3.609 -6.250 0.000 3.609 6.250 0.000 -2.405 0.000 7.683" Properties=species:S:1:pos:R:3 comment="Rb3Pm2SnS6 | Alexandria | GGA-PBE | relaxed" raw_formation_energy_kcal_per_mol_atoms=-33.16 rho_g_cm3=4.1 dos_at_fermi_per_ev_cell=5.55 pbc="T T T"
Rb 0.000 0.000 0.000
Rb 3.609 2.080 0.000
Rb 3.609 -2.080 0.000
Pm 2.406 4.167 3.842
Pm 2.406 -4.167 3.842
Sn 2.406 0.000 3.842
S 1.223 2.049 2.348
S 0.041 0.000 5.336
S 1.223 -2.049 2.348
S 3.589 2.049 5.336
S 4.771 0.000 2.347
S 3.589 -2.049 5.336

---

[2]
12
Lattice="3.694 -6.398 0.000 3.694 6.398 0.000 -2.467 0.000 7.709" Properties=species:S:1:pos:R:3 comment="Rb3SrPm2S6 | Alexandria | GGA-PBE | relaxed" raw_formation_energy_kcal_per_mol_atoms=-38.04 rho_g_cm3=3.8 dos_at_fermi_per_ev_cell=14.11 pbc="T T T"
Rb 0.000 0.000 0.000
Rb 3.694 2.090 0.000
Rb 3.694 -2.090 0.000
Sr 2.461 0.000 3.855
Pm 2.461 4.262 3.855
Pm 2.461 -4.262 3.855
S 1.166 2.242 2.318
S -0.126 0.000 5.385
S 1.166 -2.242 2.318
S 3.755 2.242 5.391
S 5.047 0.000 2.325
S 3.755 -2.242 5.391

---

[3]
14
Lattice="4.151 2.396 6.878 -4.151 2.396 6.878 0.000 -4.793 6.878" Properties=species:S:1:pos:R:3 comment="RbTb4PmS8 | Alexandria | GGA-PBE | relaxed" raw_formation_energy_kcal_per_mol_atoms=-43.84 rho_g_cm3=4.5 dos_at_fermi_per_ev_cell=0.00 pbc="T T T"
Rb 0.000 0.000 0.000
Tb -2.147 -1.239 9.484
Tb 0.000 0.000 5.224
Tb 2.147 -1.239 9.484
Tb 0.000 2.479 9.484
Pm 0.000 0.000 13.050
S 0.000 -2.279 11.166
S -1.974 1.140 11.166
S 0.000 0.000 7.939
S -1.786 -1.031 14.849
S 1.974 1.140 11.166
S 0.000 0.000 17.704
S 1.786 -1.031 14.849
S 0.000 2.062 14.849

---

[4]
11
Lattice="5.549 -3.793 0.000 5.549 3.793 0.000 -3.127 0.000 8.479" Properties=species:S:1:pos:R:3 comment="Rb2PmTe2S6 | Alexandria | GGA-PBE | relaxed" raw_formation_energy_kcal_per_mol_atoms=-16.88 rho_g_cm3=3.6 dos_at_fermi_per_ev_cell=2.25 pbc="T T T"
Rb 1.757 0.000 1.054
Rb 6.215 0.000 7.424
Pm -1.564 0.000 4.239
Te 2.290 0.000 6.421
Te 5.681 0.000 2.058
S 4.339 2.100 1.968
S 1.273 0.000 4.317
S 3.632 2.100 6.510
S 4.339 -2.100 1.968
S 6.699 0.000 4.162
S 3.632 -2.100 6.510

---

[5]
16
Lattice="4.145 2.393 7.797 -4.145 2.393 7.797 0.000 -4.786 7.797" Properties=species:S:1:pos:R:3 comment="Rb4PmTh3S8 | Alexandria | GGA-PBE | relaxed" raw_formation_energy_kcal_per_mol_atoms=-39.09 rho_g_cm3=5.2 dos_at_fermi_per_ev_cell=10.55 pbc="T T T"
Rb 0.000 0.000 0.000
Rb -2.072 -1.197 7.797
Rb -2.072 1.197 15.594
Rb 0.000 2.393 7.797
Pm 0.000 0.000 11.696
Th -4.145 0.000 11.696
Th -2.072 1.197 3.899
Th 2.072 1.197 3.899
S -2.094 -1.209 13.264
S 0.000 0.000 5.477
S 0.000 -2.417 10.127
S -2.094 1.209 10.127
S 2.094 -1.209 13.264
S 0.000 2.417 13.264
S 0.000 0.000 17.914
S 2.094 1.209 10.127

---

[6]
12
Lattice="3.596 -6.228 0.000 3.596 6.228 0.000 -2.397 0.000 7.782" Properties=species:S:1:pos:R:3 comment="Rb3PmTh2S6 | Alexandria | GGA-PBE | relaxed" raw_formation_energy_kcal_per_mol_atoms=-39.51 rho_g_cm3=5.0 dos_at_fermi_per_ev_cell=7.34 pbc="T T T"
Rb 0.000 0.000 0.000
Rb 3.596 2.059 0.000
Rb 3.596 -2.059 0.000
Pm 2.398 0.000 3.891
Th 2.398 4.151 3.891
Th 2.398 -4.151 3.891
S 1.180 2.108 2.327
S -0.036 0.000 5.453
S 1.180 -2.108 2.327
S 3.615 2.108 5.455
S 4.832 0.000 2.330
S 3.615 -2.108 5.455

---

[7]
11
Lattice="3.456 -5.894 0.000 3.456 5.894 0.000 -2.378 0.000 7.842" Properties=species:S:1:pos:R:3 comment="Rb2Pm2TiS6 | Alexandria | GGA-PBE | relaxed" raw_formation_energy_kcal_per_mol_atoms=-37.89 rho_g_cm3=3.6 pbc="T T T"
Rb 3.456 3.869 0.000
Rb 3.456 -3.869 0.000
Pm 2.267 1.965 3.921
Pm 2.267 -1.965 3.921
Ti -1.189 0.000 3.921
S -0.149 1.768 5.370
S 0.847 0.000 2.491
S -0.149 -1.768 5.370
S 4.683 1.768 2.472
S 3.688 0.000 5.351
S 4.683 -1.768 2.472

---

[8]
16
Lattice="4.082 2.357 7.689 -4.082 2.357 7.689 0.000 -4.714 7.689" Properties=species:S:1:pos:R:3 comment="Rb4Pm3TiS8 | Alexandria | GGA-PBE | relaxed" raw_formation_energy_kcal_per_mol_atoms=-38.02 rho_g_cm3=4.0 dos_at_fermi_per_ev_cell=6.31 pbc="T T T"
Rb 0.000 0.000 0.000
Rb -2.041 -1.178 7.689
Rb -2.041 1.178 15.378
Rb 0.000 2.357 7.689
Pm -4.082 0.000 11.534
Pm -2.041 1.178 3.844
Pm 2.041 1.178 3.845
Ti 0.000 0.000 11.534
S 0.000 0.000 5.384
S -1.894 -1.093 12.980
S 0.000 -2.187 10.087
S -1.894 1.093 10.087
S 1.894 -1.093 12.980
S 0.000 2.187 12.980
S 1.894 1.093 10.087
S 0.000 0.000 17.683

---

Repeat the sixth record exactly.
12
Lattice="3.596 -6.228 0.000 3.596 6.228 0.000 -2.397 0.000 7.782" Properties=species:S:1:pos:R:3 comment="Rb3PmTh2S6 | Alexandria | GGA-PBE | relaxed" raw_formation_energy_kcal_per_mol_atoms=-39.51 rho_g_cm3=5.0 dos_at_fermi_per_ev_cell=7.34 pbc="T T T"
Rb 0.000 0.000 0.000
Rb 3.596 2.059 0.000
Rb 3.596 -2.059 0.000
Pm 2.398 0.000 3.891
Th 2.398 4.151 3.891
Th 2.398 -4.151 3.891
S 1.180 2.108 2.327
S -0.036 0.000 5.453
S 1.180 -2.108 2.327
S 3.615 2.108 5.455
S 4.832 0.000 2.330
S 3.615 -2.108 5.455

---

> What is the formula in the fourth record?

Rb2PmTe2S6